# PBE+U Sr2NiIrO6, relaxed
data_Sr2NiIrO6
_symmetry_space_group_name_H-M 'I 4/m'
_symmetry_Int_Tables_number 87
_symmetry_space_group_name_Hall '-I 4'
_cell_length_a 5.581
_cell_length_b 5.581
_cell_length_c 8.086
_cell_angle_alpha 90.00
_cell_angle_beta 90.00
_cell_angle_gamma 90.00
loop_
_atom_site_label
_atom_site_type_symbol
_atom_site_fract_x
_atom_site_fract_y
_atom_site_fract_z
Sr1 Sr 0.000 0.500 0.250
Ni1 Ni 0.000 0.000 0.000
Ir1 Ir 0.000 0.000 0.500
O1 O 0.000 0.000 0.258
O2 O 0.198 0.288 0.500
# * DOS(E_F): 0.1830 states/eV per atom
# * M_tot: 10.0 Bohr magnetons per cell
# * electronic total energy: -6.16 eV per atom